# 1
UPaNiS4, relaxed, DFT PBE; size of the total moment = 4.956 μB/cell; SG = No. 11; energy = -7.449 eV/atom
1.0
6.284 0.000 0.000
0.000 5.955 0.000
-2.134 0.000 7.090
U Pa Ni S
2 2 2 8
Direct
0.240 0.250 0.060
0.760 0.750 0.940
0.237 0.250 0.557
0.763 0.750 0.443
0.237 0.750 0.312
0.763 0.250 0.688
0.019 0.512 0.757
0.019 0.988 0.757
0.429 0.750 0.610
0.434 0.750 0.110
0.566 0.250 0.890
0.571 0.250 0.390
0.981 0.012 0.243
0.981 0.488 0.243

***

# 2
Pa2VNiS5, relaxed, DFT PBE; size of the total moment = 5.948 μB/cell; SG = No. 36; energy = -7.332 eV/atom
1.0
1.855 -7.717 0.000
1.855 7.717 0.000
0.000 0.000 11.112
Pa V Ni S
4 2 2 10
Direct
0.111 0.889 0.500
0.123 0.877 0.857
0.877 0.123 0.357
0.889 0.111 0.000
0.178 0.822 0.181
0.822 0.178 0.681
0.442 0.558 0.582
0.558 0.442 0.082
0.017 0.983 0.178
0.303 0.697 0.526
0.306 0.694 0.829
0.338 0.662 0.177
0.499 0.501 0.907
0.501 0.499 0.407
0.662 0.338 0.677
0.694 0.306 0.329
0.697 0.303 0.026
0.983 0.017 0.678

***

# 3
YPaNiS4, relaxed, DFT PBE; size of the total moment = 0.000 μB/cell; SG = No. 11; energy = -6.930 eV/atom
1.0
6.272 0.000 0.000
0.000 5.967 0.000
-2.121 0.000 7.242
Y Pa Ni S
2 2 2 8
Direct
0.246 0.250 0.057
0.754 0.750 0.943
0.242 0.250 0.557
0.758 0.750 0.443
0.240 0.750 0.331
0.760 0.250 0.669
0.016 0.511 0.750
0.016 0.989 0.750
0.435 0.750 0.120
0.437 0.750 0.616
0.563 0.250 0.384
0.565 0.250 0.880
0.984 0.011 0.250
0.984 0.489 0.250